This record from Alexandria describes a relaxed structure of ScCo2Sb. The functional is PBE.

Calculated values
Its uncorrected formation energy is -21 kJ per mole of atoms. The calculation puts the total magnetic moment at 0.00 μB/f.u. As for the density: 7.63 g/cm³. As for the total energy: -6.3841 eV/atom.

a = 9.0799 Å, b = 3.3753 Å, c = 4.1922 Å
α = 90.00°, β = 105.34°, γ = 90.00°
Space group Cm (No. 8)
Unique sites:
Sc (0.0000, 0.0000, 0.0000)
Co (0.0102, 0.5000, 0.5141)
Co (0.2377, 0.5000, 0.1357)
Sb (0.2394, 0.0000, 0.6322)